No. 1
The following is a SCAN calculation of a crystal of In2Ag2Hg relaxed with PBEsol, from the Alexandria database.

Calculated values
Size of the total moment (μB per formula unit): 0.0
Total energy (eV per formula unit): -196.83
SG: I4/mmm (139)

Cell lengths 4.1294, 4.1294, 7.1882 Å; angles 106.69, 106.69, 90.00 degrees
Element x y z (fractional)
Ag (0.3996, 0.3996, 0.7992)
Ag (0.6004, 0.6004, 0.2008)
Hg (0.0000, 0.0000, 0.0000)
In (0.7500, 0.2500, 0.5000)
In (0.2500, 0.7500, 0.5000)

=====

No. 2
The following is a SCAN calculation of a crystal of MnMoCl2 relaxed with PBEsol, from the Alexandria database.

Calculated values
Size of the total moment (μB per formula unit): 2.5
Total energy (eV per formula unit): -70.13
SG: C2/m (12)

Cell lengths 2.9972, 4.3068, 6.4369 Å; angles 96.96, 103.46, 90.00 degrees
Each line ends with the local moment (μB).
Element x y z (fractional)
Mn (0.0000, 0.5000, 0.0000)  3.50
Cl (0.8556, 0.7896, 0.7112)  0.00
Cl (0.1444, 0.2104, 0.2888)  0.00
Mo (0.5000, 0.0000, 0.0000)  -1.08